Below is a relaxed structure of Sm3Pa2Se6, with properties calculated at the PBE-GGA level.

Lattice parameters (Å, degrees): 4.119 4.119 20.711 84.29 84.29 60.00
Fractional coordinates of all 11 atoms:
Sm1 0.000 0.000 0.000
Sm2 0.276 0.276 0.172
Sm3 0.724 0.724 0.828
Pa1 0.444 0.444 0.667
Pa2 0.556 0.556 0.333
Se1 0.084 0.084 0.747
Se2 0.916 0.916 0.253
Se3 0.197 0.197 0.410
Se4 0.803 0.803 0.590
Se5 0.361 0.361 0.916
Se6 0.639 0.639 0.084

Computed properties:
uncorrected formation energy: -1571 meV/atom
ρ: 7.6 Mg/m³
final energy: -6.49 eV per atom
magnetization: 1.32 μB/f.u.